Computed, not measured: a geometry-optimized Sm2HgO structure at the PBE level of DFT.

Symmetry: R-3m
Magnetic moment: 0.0 μB/cell
DOS(E_F): 3.2 states/eV per cell
Formation energy without anion corrections: -1.51 eV/atom
Energy above the most stable polymorph in this dataset: 96 meV/atom
ρ: 9.7 g/cm3

Cell: 3.6825 3.6825 7.8664 Å, 76.46 76.46 60.00°
Fractional coordinates of all 4 atoms:
Sm: 0.2741 0.2741 0.1776
Sm: 0.7259 0.7259 0.8224
O: 0.0000 0.0000 0.0000
Hg: 0.5000 0.5000 0.5000